4
Lattice="2.9550 0.0000 0.0000 1.4775 2.5591 0.0000 1.4775 0.8530 7.9013" Properties=species:S:1:pos:R:3 comment="Li2IrBr (SCAN, PBEsol geometry)" raw_formation_energy_mev_per_atom=-294 e_tot_ev_per_atom=-24.128 sg="R-3m, No. 166" pbc="T T T"
Li 4.4325 2.5591 5.8849
Li 1.4775 0.8530 2.0163
Br 2.9550 1.7061 3.9506
Ir 0.0000 0.0000 0.0000

4
Lattice="4.3528 0.0000 0.0000 2.1764 3.7696 0.0000 2.1764 1.2565 3.5541" Properties=species:S:1:pos:R:3 comment="Li2IrBr (SCAN, PBEsol geometry)" raw_formation_energy_mev_per_atom=235 e_tot_ev_per_atom=-23.599 sg="F-43m, No. 216" pbc="T T T"
Ir 2.1764 1.2565 0.8885
Br 4.3528 2.5131 1.7770
Li 6.5292 3.7696 2.6655
Li 0.0000 0.0000 0.0000

Number 1: E above lowest polymorph 0.0 meV/atom. Number 2: E above lowest polymorph 529.0 meV/atom.